Record 1
Ta2TlW: relaxed, PBE.

Structure (extended XYZ):
```
8
Lattice="3.5249 0.0000 0.0000 0.0000 4.6561 0.0000 0.0000 0.0000 9.0666" Properties=species:S:1:pos:R:3 pbc="T T T"
Ta 0.0000 0.0000 2.1144
Ta 0.0000 0.0000 6.9522
Ta 1.7625 2.3281 2.4189
Ta 1.7625 2.3281 6.6477
Tl 0.0000 2.3281 0.0000
Tl 1.7625 0.0000 4.5333
W 0.0000 2.3281 4.5333
W 1.7625 0.0000 0.0000
```

Properties
E_form: 0.40 eV/atom
energy above the most stable polymorph in this dataset: 46 kJ/mol of formula units


Record 2
Ta2TlW: relaxed, PBE.

Structure (extended XYZ):
```
4
Lattice="2.8468 0.0000 0.0000 0.0000 2.8468 0.0000 0.0000 0.0000 9.3929" Properties=species:S:1:pos:R:3 pbc="T T T"
Ta 0.0000 0.0000 0.0000
Ta 1.4234 1.4234 2.2981
Tl 0.0000 0.0000 4.7562
W 1.4234 1.4234 7.1357
```

Properties
E_form: 0.56 eV/atom
energy above the most stable polymorph in this dataset: 108 kJ/mol of formula units


Record 3
Ta2Tl2W: relaxed, PBE.

Structure (extended XYZ):
```
10
Lattice="3.8447 0.0000 0.0000 0.0000 3.8447 0.0000 0.0000 0.0000 14.2580" Properties=species:S:1:pos:R:3 pbc="T T T"
Ta 0.0000 1.9224 3.5645
Ta 0.0000 1.9224 10.6935
Ta 1.9224 0.0000 3.5645
Ta 1.9224 0.0000 10.6935
Tl 0.0000 0.0000 1.3714
Tl 0.0000 0.0000 12.8866
Tl 1.9224 1.9224 5.7576
Tl 1.9224 1.9224 8.5004
W 0.0000 0.0000 7.1290
W 1.9224 1.9224 0.0000
```

Properties
E_form: 1.29 eV/atom
energy above the most stable polymorph in this dataset: 144 kJ/mol of formula units


Record 4
TaTlW2: relaxed, PBE.

Structure (extended XYZ):
```
8
Lattice="3.2492 0.0000 0.0000 0.0000 4.8340 0.0000 0.0000 0.0000 9.3873" Properties=species:S:1:pos:R:3 pbc="T T T"
Ta 0.0000 0.0000 0.0000
Ta 1.6246 2.4170 0.0000
Tl 0.0000 2.4170 6.8250
Tl 1.6246 0.0000 6.8250
W 0.0000 0.0000 4.3205
W 0.0000 2.4170 2.2165
W 1.6246 0.0000 2.2165
W 1.6246 2.4170 4.3205
```

Properties
E_form: 0.42 eV/atom
energy above the most stable polymorph in this dataset: 0 kJ/mol of formula units


Record 5
Ta3TlW: relaxed, PBE.

Structure (extended XYZ):
```
5
Lattice="4.9607 0.0000 0.0000 0.0000 4.9607 0.0000 0.0000 0.0000 4.9607" Properties=species:S:1:pos:R:3 pbc="T T T"
Ta 0.0000 0.0000 2.4803
Ta 0.0000 2.4803 0.0000
Ta 2.4803 0.0000 0.0000
Tl 0.0000 0.0000 0.0000
W 2.4803 2.4803 2.4803
```

Properties
E_form: 2.82 eV/atom
energy above the most stable polymorph in this dataset: 656 kJ/mol of formula units


Record 6
TaTlW2: relaxed, PBE.

Structure (extended XYZ):
```
8
Lattice="3.4067 0.0000 0.0000 0.0000 4.6076 0.0000 0.0000 0.0000 9.1988" Properties=species:S:1:pos:R:3 pbc="T T T"
Ta 0.0000 0.0000 0.0000
Ta 1.7034 2.3038 4.5994
Tl 0.0000 2.3038 2.1212
Tl 1.7034 0.0000 6.7206
W 0.0000 0.0000 4.2983
W 0.0000 2.3038 6.8270
W 1.7034 0.0000 2.2276
W 1.7034 2.3038 8.8977
```

Properties
E_form: 0.55 eV/atom
energy above the most stable polymorph in this dataset: 48 kJ/mol of formula units


Record 7
TaTlW2: relaxed, PBE.

Structure (extended XYZ):
```
4
Lattice="2.8529 0.0000 0.0000 0.0000 4.6996 0.0000 -0.8958 0.0000 5.4528" Properties=species:S:1:pos:R:3 pbc="T T T"
Ta 0.0000 0.0000 0.0000
Tl 0.9785 0.0000 2.7264
W 0.0944 2.3498 4.2195
W 1.8627 2.3498 1.2333
```

Properties
E_form: 0.57 eV/atom
energy above the most stable polymorph in this dataset: 56 kJ/mol of formula units


Record 8
Ta2TlW: relaxed, PBE.

Structure (extended XYZ):
```
4
Lattice="2.9049 0.0000 0.0000 0.0000 4.5014 0.0000 -1.2680 0.0000 5.7542" Properties=species:S:1:pos:R:3 pbc="T T T"
Ta -0.1900 0.0000 1.5811
Ta 1.8269 0.0000 4.1731
Tl 1.4524 2.2507 0.0000
W 0.8185 2.2507 2.8771
```

Properties
E_form: 0.40 eV/atom
energy above the most stable polymorph in this dataset: 45 kJ/mol of formula units


Record 9
Ta2TlW: relaxed, PBE.

Structure (extended XYZ):
```
16
Lattice="6.6802 0.0000 0.0000 0.0000 6.6802 0.0000 0.0000 0.0000 6.6802" Properties=species:S:1:pos:R:3 pbc="T T T"
Ta 1.6701 1.6701 1.6701
Ta 1.6701 1.6701 5.0102
Ta 1.6701 5.0102 1.6701
Ta 1.6701 5.0102 5.0102
Ta 5.0102 1.6701 1.6701
Ta 5.0102 1.6701 5.0102
Ta 5.0102 5.0102 1.6701
Ta 5.0102 5.0102 5.0102
Tl 0.0000 0.0000 0.0000
Tl 0.0000 3.3401 3.3401
Tl 3.3401 0.0000 3.3401
Tl 3.3401 3.3401 0.0000
W 0.0000 0.0000 3.3401
W 0.0000 3.3401 0.0000
W 3.3401 0.0000 0.0000
W 3.3401 3.3401 3.3401
```

Properties
E_form: 0.56 eV/atom
energy above the most stable polymorph in this dataset: 107 kJ/mol of formula units


Record 10
Ta2TlW: relaxed, PBE.

Structure (extended XYZ):
```
4
Lattice="2.8855 0.0000 0.0000 0.0000 4.4166 0.0000 0.0000 0.0000 5.9300" Properties=species:S:1:pos:R:3 pbc="T T T"
Ta 0.0000 0.0000 0.0000
Ta 1.4427 2.2083 1.4323
Tl 0.0000 0.0000 2.9906
W 1.4427 2.2083 4.5974
```

Properties
E_form: 0.54 eV/atom
energy above the most stable polymorph in this dataset: 103 kJ/mol of formula units


Record 11
Ta2TlW: relaxed, PBE.

Structure (extended XYZ):
```
4
Lattice="2.8569 0.0000 0.0000 0.0000 2.8569 0.0000 0.0000 0.0000 9.2700" Properties=species:S:1:pos:R:3 pbc="T T T"
Ta 0.0000 0.0000 2.2203
Ta 0.0000 0.0000 7.0497
Tl 1.4285 1.4285 4.6350
W 1.4285 1.4285 0.0000
```

Properties
E_form: 0.49 eV/atom
energy above the most stable polymorph in this dataset: 81 kJ/mol of formula units


Record 12
TaTlW2: relaxed, PBE.

Structure (extended XYZ):
```
4
Lattice="2.8154 0.0000 0.0000 0.0000 2.8154 0.0000 0.0000 0.0000 9.3344" Properties=species:S:1:pos:R:3 pbc="T T T"
Ta 0.0000 0.0000 0.0000
Tl 0.0000 0.0000 4.6672
W 1.4077 1.4077 2.2378
W 1.4077 1.4077 7.0966
```

Properties
E_form: 0.72 eV/atom
energy above the most stable polymorph in this dataset: 113 kJ/mol of formula units


Record 13
TaTlW2: relaxed, PBE.

Structure (extended XYZ):
```
4
Lattice="3.4928 0.0000 0.0000 0.0000 3.4928 0.0000 0.0000 0.0000 6.1268" Properties=species:S:1:pos:R:3 pbc="T T T"
Ta 0.0000 0.0000 0.0000
Tl 0.0000 0.0000 3.0634
W 1.7464 1.7464 1.2912
W 1.7464 1.7464 4.8356
```

Properties
E_form: 0.54 eV/atom
energy above the most stable polymorph in this dataset: 45 kJ/mol of formula units


Record 14
Ta3TlW: relaxed, PBE.

Structure (extended XYZ):
```
5
Lattice="4.9101 0.0000 0.0000 0.0000 4.9101 0.0000 0.0000 0.0000 4.9101" Properties=species:S:1:pos:R:3 pbc="T T T"
Ta 0.0000 0.0000 2.4550
Ta 0.0000 2.4550 0.0000
Ta 2.4550 0.0000 0.0000
Tl 2.4550 2.4550 2.4550
W 0.0000 0.0000 0.0000
```

Properties
E_form: 1.46 eV/atom
energy above the most stable polymorph in this dataset: 0 kJ/mol of formula units


Record 15
Ta2TlW: relaxed, PBE.

Structure (extended XYZ):
```
8
Lattice="5.7996 0.0000 0.0000 0.0000 9.2206 0.0000 -0.7755 0.0000 2.7765" Properties=species:S:1:pos:R:3 pbc="T T T"
Ta 1.4499 2.3051 0.0000
Ta 1.4499 6.9154 0.0000
Ta 4.3497 2.3051 0.0000
Ta 4.3497 6.9154 0.0000
Tl -0.3878 0.0000 1.3883
Tl 2.5120 4.6103 1.3883
W -0.3878 4.6103 1.3883
W 2.5120 0.0000 1.3883
```

Properties
E_form: 0.47 eV/atom
energy above the most stable polymorph in this dataset: 72 kJ/mol of formula units


Record 16
TaTlW2: relaxed, PBE.

Structure (extended XYZ):
```
4
Lattice="2.8367 0.0000 0.0000 0.0000 2.8367 0.0000 0.0000 0.0000 9.1565" Properties=species:S:1:pos:R:3 pbc="T T T"
Ta 0.0000 0.0000 0.0000
Tl 1.4183 1.4183 2.4551
W 0.0000 0.0000 4.8304
W 1.4183 1.4183 6.9626
```

Properties
E_form: 0.68 eV/atom
energy above the most stable polymorph in this dataset: 98 kJ/mol of formula units


Record 17
TaTlW2: relaxed, PBE.

Structure (extended XYZ):
```
16
Lattice="6.6093 0.0000 0.0000 0.0000 6.6093 0.0000 0.0000 0.0000 6.6093" Properties=species:S:1:pos:R:3 pbc="T T T"
Ta 0.0000 0.0000 0.0000
Ta 0.0000 3.3046 3.3046
Ta 3.3046 0.0000 3.3046
Ta 3.3046 3.3046 0.0000
Tl 1.6523 1.6523 4.9569
Tl 1.6523 4.9569 1.6523
Tl 4.9569 1.6523 1.6523
Tl 4.9569 4.9569 4.9569
W 0.0000 0.0000 3.3046
W 0.0000 3.3046 0.0000
W 1.6523 1.6523 1.6523
W 1.6523 4.9569 4.9569
W 3.3046 0.0000 0.0000
W 3.3046 3.3046 3.3046
W 4.9569 1.6523 4.9569
W 4.9569 4.9569 1.6523
```

Properties
E_form: 0.74 eV/atom
energy above the most stable polymorph in this dataset: 124 kJ/mol of formula units


Record 18
TaTlW2: relaxed, PBE.

Structure (extended XYZ):
```
4
Lattice="3.4331 0.0000 0.0000 0.0000 3.4331 0.0000 0.0000 0.0000 6.2137" Properties=species:S:1:pos:R:3 pbc="T T T"
Ta 0.0000 0.0000 0.0000
Tl 1.7166 1.7166 1.7626
W 0.0000 0.0000 3.4962
W 1.7166 1.7166 4.8285
```

Properties
E_form: 0.51 eV/atom
energy above the most stable polymorph in this dataset: 33 kJ/mol of formula units


Record 19
Ta2TlW: relaxed, PBE.

Structure (extended XYZ):
```
8
Lattice="3.3058 0.0000 0.0000 0.0000 4.9394 0.0000 0.0000 0.0000 9.3613" Properties=species:S:1:pos:R:3 pbc="T T T"
Ta 0.0000 0.0000 2.1284
Ta 0.0000 0.0000 7.2329
Ta 1.6529 2.4697 2.1284
Ta 1.6529 2.4697 7.2329
Tl 0.0000 2.4697 4.6807
Tl 1.6529 0.0000 4.6807
W 0.0000 2.4697 0.0000
W 1.6529 0.0000 0.0000
```

Properties
E_form: 0.28 eV/atom
energy above the most stable polymorph in this dataset: 0 kJ/mol of formula units


Record 20
Ta2TlW: relaxed, PBE.

Structure (extended XYZ):
```
12
Lattice="2.9643 0.0000 0.0000 -1.4821 2.5671 0.0000 0.0000 0.0000 30.1725" Properties=species:S:1:pos:R:3 pbc="T T T"
Ta 0.0000 0.0000 0.0000
Ta 0.0000 0.0000 7.5618
Ta 0.0000 1.7114 20.1150
Ta 0.0000 1.7114 27.6768
Ta 1.4821 0.8557 10.0575
Ta 1.4821 0.8557 17.6193
Tl 0.0000 0.0000 15.0234
Tl 0.0000 1.7114 4.9659
Tl 1.4821 0.8557 25.0809
W 0.0000 0.0000 22.5408
W 0.0000 1.7114 12.4832
W 1.4821 0.8557 2.4257
```

Properties
E_form: 0.63 eV/atom
energy above the most stable polymorph in this dataset: 134 kJ/mol of formula units